## Al2TlRu (SCAN)

Data for a PBEsol-optimized structure of Al2TlRu.

Summary:
The mass density comes out at 8.9 g/cm3. The density of states at the Fermi level comes out at 0.39 states/eV per atom. As for the symmetry: Pmm2. The value obtained for the total magnetization is 0.0000 μB/atom. The total energy is -122.768 eV per cell.

Cell: 3.169 4.372 4.853 Å, 90.00 90.00 90.00°
Positions (direct):
Al (0.000, 0.000, 0.000)
Al (0.500, 0.500, 0.153)
Tl (0.000, 0.500, 0.642)
Ru (0.500, 0.000, 0.404)



## LiCaRh2 (SCAN)

Data for a PBEsol-optimized structure of LiCaRh2.

Summary:
The mass density comes out at 6.4 g/cm3. The density of states at the Fermi level comes out at 0.72 states/eV per atom. As for the symmetry: Imm2. The value obtained for the total magnetization is 0.0000 μB/atom. The total energy is -159.868 eV per cell.

Cell: 2.978 4.627 9.539 Å, 90.00 90.00 90.00°
Positions (direct):
Li (0.000, 0.000, 0.000)
Li (0.500, 0.500, 0.500)
Ca (0.000, 0.500, 0.222)
Ca (0.500, 0.000, 0.722)
Rh (0.000, 0.000, 0.454)
Rh (0.000, 0.500, 0.736)
Rh (0.500, 0.000, 0.236)
Rh (0.500, 0.500, 0.954)



## Tl2CrPb (SCAN)

Data for a PBEsol-optimized structure of Tl2CrPb.

Summary:
The mass density comes out at 11.2 g/cm3. The density of states at the Fermi level comes out at 0.49 states/eV per atom. As for the symmetry: Pmmm. The value obtained for the total magnetization is 1.0999 μB/atom. The total energy is -237.777 eV per cell.

Cell: 3.748 5.090 5.192 Å, 90.00 90.00 90.00°
Positions (direct):
Tl (0.000, 0.000, 0.000)
Tl (0.500, 0.500, 0.000)
Cr (0.000, 0.500, 0.500)
Pb (0.500, 0.000, 0.500)



## Rb2PdSe2 (SCAN)

Data for a PBEsol-optimized structure of Rb2PdSe2.

Summary:
The mass density comes out at 5.1 g/cm3. As for the symmetry: Immm. As for the formation energy without anion corrections: -1038 meV/atom. The value obtained for the total magnetization is 0.0000 μB/atom.

Cell: 3.790 7.487 10.071 Å, 90.00 90.00 90.00°
Positions (direct):
Rb (0.000, 0.000, 0.195)
Rb (0.000, 0.000, 0.805)
Rb (0.500, 0.500, 0.305)
Rb (0.500, 0.500, 0.695)
Pd (0.000, 0.500, 0.000)
Pd (0.500, 0.000, 0.500)
Se (0.000, 0.214, 0.500)
Se (0.000, 0.786, 0.500)
Se (0.500, 0.286, 0.000)
Se (0.500, 0.714, 0.000)



## LaHgSCl2 (SCAN)

Data for a PBEsol-optimized structure of LaHgSCl2.

Summary:
The mass density comes out at 5.6 g/cm3. The density of states at the Fermi level comes out at 0.68 states/eV per atom. As for the symmetry: P4/mmm. As for the formation energy without anion corrections: -875 meV/atom. The value obtained for the total magnetization is 0.1292 μB/atom.

Cell: 5.145 5.145 4.989 Å, 90.00 90.00 90.00°
Positions (direct):
La (0.000, 0.000, 0.000)
Hg (0.500, 0.500, 0.500)
S (0.500, 0.500, 0.000)
Cl (0.000, 0.500, 0.500)
Cl (0.500, 0.000, 0.500)



## BaSiCl3 (SCAN)

Data for a PBEsol-optimized structure of BaSiCl3.

Summary:
The mass density comes out at 2.3 g/cm3. The density of states at the Fermi level comes out at 1.11 states/eV per atom. As for the symmetry: Pm-3m. As for the formation energy without anion corrections: -820 meV/atom. The value obtained for the total magnetization is 0.2000 μB/atom.

Cell: 5.852 5.852 5.852 Å, 90.00 90.00 90.00°
Positions (direct):
Ba (0.000, 0.000, 0.000)
Si (0.500, 0.500, 0.500)
Cl (0.000, 0.000, 0.500)
Cl (0.000, 0.500, 0.000)
Cl (0.500, 0.000, 0.000)



## MnSi2F (SCAN)

Data for a PBEsol-optimized structure of MnSi2F.

Summary:
The mass density comes out at 4.3 g/cm3. The density of states at the Fermi level comes out at 0.46 states/eV per atom. As for the symmetry: Fm-3m. As for the formation energy without anion corrections: -161 meV/atom. The value obtained for the total magnetization is 0.8277 μB/atom.

Cell: 5.855 5.855 5.855 Å, 90.00 90.00 90.00°
Positions (direct):
Mn (0.000, 0.000, 0.000)
Mn (0.000, 0.500, 0.500)
Mn (0.500, 0.000, 0.500)
Mn (0.500, 0.500, 0.000)
Si (0.250, 0.250, 0.250)
Si (0.250, 0.250, 0.750)
Si (0.250, 0.750, 0.250)
Si (0.250, 0.750, 0.750)
Si (0.750, 0.250, 0.250)
Si (0.750, 0.250, 0.750)
Si (0.750, 0.750, 0.250)
Si (0.750, 0.750, 0.750)
F (0.000, 0.000, 0.500)
F (0.000, 0.500, 0.000)
F (0.500, 0.000, 0.000)
F (0.500, 0.500, 0.500)



## BAu2Se (SCAN)

Data for a PBEsol-optimized structure of BAu2Se.

Summary:
The mass density comes out at 12.6 g/cm3. The density of states at the Fermi level comes out at 0.20 states/eV per atom. As for the symmetry: Fm-3m. As for the formation energy without anion corrections: 1058 meV/atom. The value obtained for the total magnetization is 0.0000 μB/atom.

Cell: 6.338 6.338 6.338 Å, 90.00 90.00 90.00°
Positions (direct):
B (0.000, 0.000, 0.000)
B (0.000, 0.500, 0.500)
B (0.500, 0.000, 0.500)
B (0.500, 0.500, 0.000)
Au (0.250, 0.250, 0.250)
Au (0.250, 0.250, 0.750)
Au (0.250, 0.750, 0.250)
Au (0.250, 0.750, 0.750)
Au (0.750, 0.250, 0.250)
Au (0.750, 0.250, 0.750)
Au (0.750, 0.750, 0.250)
Au (0.750, 0.750, 0.750)
Se (0.000, 0.000, 0.500)
Se (0.000, 0.500, 0.000)
Se (0.500, 0.000, 0.000)
Se (0.500, 0.500, 0.500)